Density functional theory data (PBE) for a relaxed TbNdTm2 crystal.

a = 8.012 Å, b = 8.012 Å, c = 8.012 Å
α = 90.00°, β = 90.00°, γ = 90.00°
Space group Fm-3m (No. 225)
Unique sites:
Tb (0.000, 0.000, 0.000) [4 per cell]
Nd (0.000, 0.000, 0.500) [4 per cell]
Tm (0.250, 0.250, 0.250) [8 per cell]

Properties
Size of the total moment in μB/f.u.: 0.0
ΔH_f (0 K) in eV/atom: 0.110
D(E_F) in states/eV/f.u.: 6.660
Excess energy over the best structure of this formula in the dataset in eV/atom: 0.106

=====

Density functional theory data (PBE) for a relaxed TbNd6Tm crystal.

a = 5.148 Å, b = 5.148 Å, c = 10.299 Å
α = 90.00°, β = 90.00°, γ = 90.00°
Space group P4/mmm (No. 123)
Unique sites:
Tb (0.000, 0.000, 0.000) [1 per cell]
Nd (0.000, 0.500, 0.251) [4 per cell]
Nd (0.500, 0.500, 0.000) [1 per cell]
Nd (0.500, 0.500, 0.500) [1 per cell]
Tm (0.000, 0.000, 0.500) [1 per cell]

Properties
Size of the total moment in μB/f.u.: 0.0
ΔH_f (0 K) in eV/atom: 0.015
D(E_F) in states/eV/f.u.: 13.221

=====

Density functional theory data (PBE) for a relaxed Tb2NdTm4 crystal.

a = 6.652 Å, b = 8.937 Å, c = 8.945 Å
α = 78.09°, β = 68.21°, γ = 68.28°
Space group P1 (No. 1)
Unique sites:
Tb (0.000, 0.000, 0.000) [1 per cell]
Tb (0.000, 0.001, 0.501) [1 per cell]
Tb (0.000, 0.501, 0.000) [1 per cell]
Tb (0.500, 0.000, 0.000) [1 per cell]
Nd (0.223, 0.527, 0.527) [1 per cell]
Nd (0.777, 0.473, 0.474) [1 per cell]
Tm (0.262, 0.261, 0.261) [1 per cell]
Tm (0.283, 0.740, 0.740) [1 per cell]
Tm (0.364, 0.645, 0.127) [1 per cell]
Tm (0.365, 0.127, 0.645) [1 per cell]
Tm (0.635, 0.873, 0.355) [1 per cell]
Tm (0.637, 0.355, 0.873) [1 per cell]
Tm (0.717, 0.261, 0.260) [1 per cell]
Tm (0.738, 0.740, 0.740) [1 per cell]

Properties
Size of the total moment in μB/f.u.: 0.0
ΔH_f (0 K) in eV/atom: 0.273
D(E_F) in states/eV/f.u.: 10.636
Excess energy over the best structure of this formula in the dataset in eV/atom: 0.236

=====

Density functional theory data (PBE) for a relaxed Tb7Nd2Tm crystal.

a = 6.541 Å, b = 28.912 Å, c = 3.506 Å
α = 90.00°, β = 90.00°, γ = 90.00°
Space group Cmmm (No. 65)
Unique sites:
Tb (0.000, 0.000, 0.000) [2 per cell]
Tb (0.000, 0.315, 0.500) [4 per cell]
Tb (0.245, 0.403, 0.000) [8 per cell]
Nd (0.000, 0.207, 0.000) [4 per cell]
Tm (0.000, 0.500, 0.500) [2 per cell]

Properties
Size of the total moment in μB/f.u.: 0.0
ΔH_f (0 K) in eV/atom: 0.155
D(E_F) in states/eV/f.u.: 16.018
Excess energy over the best structure of this formula in the dataset in eV/atom: 0.136

=====

Number 1: raw total energy -0.329 Ry per atom. Number 2: raw total energy -0.345 Ry per atom. Number 3: raw total energy -0.315 Ry per atom. Number 4: raw total energy -0.330 Ry per atom.